Entry from the Alexandria database: a geometry-optimized Cr2CoHg structure (GGA-PBE).

The calculation puts the density of states at the Fermi level at 3.697 states/eV/f.u.

The space group is R3m (No. 160, hexagonal axes) and the conventional cell measures 2.8434, 2.8434 and 24.5383 Å, with angles of 90.00, 90.00 and 120.00 degrees. Symmetry generates all atoms from Cr at (0.0000, 0.0000, 0.0000), Cr at (0.0000, 0.0000, 0.2684), Co at (0.0000, 0.0000, 0.5272) and Hg at (0.0000, 0.0000, 0.7668).

---

Entry from the Alexandria database: a geometry-optimized SnPd structure (GGA-PBE).

The calculation puts the density of states at the Fermi level at 0.603 states/eV/f.u.

The space group is P6_3/m (No. 176) and the conventional cell measures 7.4519, 7.4519 and 5.3495 Å, with angles of 90.00, 90.00 and 120.00 degrees. Symmetry generates all atoms from Sn at (0.0829, 0.7575, 0.2500) and Pd at (0.1052, 0.6599, 0.7500).

---

Respective M_tot values: 2.46; 0.00 μB per cell.
Respective energy relative to the elements values: 490.0; -346.2 meV/atom.